Computed, not measured: CeSc3In after structural relaxation at the PBE level of DFT.

Results
DOS(E_F) = 10.74 states/eV/f.u.
formation enthalpy at 0 K = 71 meV per atom
uncorrected energy = -5.462 eV per atom
ΔE to the lowest computed polymorph = 0.81 eV per formula unit
total magnetic moment = 1.83 μB per formula unit

Geometry as extended XYZ:
```
10
Lattice="3.1204 0.0000 0.0000 0.0000 9.8987 0.0000 0.0000 0.0000 8.3319" Properties=species:S:1:pos:R:3 pbc="T T T"
Ce 1.5602 2.4747 2.4519
Ce 1.5602 7.4240 5.8800
Sc 1.5602 4.0706 5.3778
Sc 1.5602 0.0000 0.0000
Sc 1.5602 0.8787 5.3778
Sc 1.5602 5.8281 2.9541
Sc 1.5602 4.9493 0.0000
Sc 1.5602 9.0200 2.9541
In 0.0000 2.4747 7.6226
In 0.0000 7.4240 0.7093
```